# 1
MnCoI2 | PBE-GGA | relaxed

* density of states at the Fermi level: 1.22 states/eV per atom
* E above lowest polymorph: 377.4 meV per atom
* formation energy from raw total energies: 1.11 eV/atom

```
data_MnCoI2
_cell_length_a 6.701
_cell_length_b 6.701
_cell_length_c 6.701
_cell_angle_alpha 90.00
_cell_angle_beta 90.00
_cell_angle_gamma 90.00
_symmetry_space_group_name_H-M 'F m -3 m'
_symmetry_Int_Tables_number 225
_symmetry_space_group_name_Hall '-F 4 2 3'
loop_
_atom_site_label
_atom_site_type_symbol
_atom_site_fract_x
_atom_site_fract_y
_atom_site_fract_z
_atom_site_occupancy
Mn1 Mn 0.000 0.000 0.000 1
Co1 Co 0.000 0.000 0.500 1
I1 I 0.250 0.250 0.250 1
```



# 2
Th8PC6 | PBE-GGA | relaxed

* density of states at the Fermi level: 0.72 states/eV per atom
* E above lowest polymorph: 0.0 meV per atom

```
data_Th8PC6
_cell_length_a 9.7871
_cell_length_b 9.7871
_cell_length_c 3.7927
_cell_angle_alpha 90.00
_cell_angle_beta 90.00
_cell_angle_gamma 120.00
_symmetry_space_group_name_H-M 'P -3'
_symmetry_Int_Tables_number 147
_symmetry_space_group_name_Hall '-P 3'
loop_
_atom_site_label
_atom_site_type_symbol
_atom_site_fract_x
_atom_site_fract_y
_atom_site_fract_z
_atom_site_occupancy
Th1 Th 0.0344 0.3486 0.2467 1
Th2 Th 0.3333 0.6667 0.7494 1
P1 P 0.0000 0.0000 0.0000 1
C1 C 0.1352 0.6559 0.2516 1
```



# 3
Tl2PdF | PBE-GGA | relaxed

* density of states at the Fermi level: 0.18 states/eV per atom
* E above lowest polymorph: 0.0 meV per atom
* formation energy from raw total energies: -0.67 eV/atom

```
data_Tl2PdF
_cell_length_a 6.878
_cell_length_b 6.878
_cell_length_c 6.878
_cell_angle_alpha 90.00
_cell_angle_beta 90.00
_cell_angle_gamma 90.00
_symmetry_space_group_name_H-M 'F m -3 m'
_symmetry_Int_Tables_number 225
_symmetry_space_group_name_Hall '-F 4 2 3'
loop_
_atom_site_label
_atom_site_type_symbol
_atom_site_fract_x
_atom_site_fract_y
_atom_site_fract_z
_atom_site_occupancy
Tl1 Tl 0.250 0.250 0.250 1
Pd1 Pd 0.000 0.000 0.000 1
F1 F 0.000 0.000 0.500 1
```



# 4
HfVB3 | PBE-GGA | relaxed

* density of states at the Fermi level: 1.21 states/eV per atom
* E above lowest polymorph: 2530.5 meV per atom

```
data_HfVB3
_cell_length_a 4.235
_cell_length_b 4.235
_cell_length_c 4.235
_cell_angle_alpha 90.00
_cell_angle_beta 90.00
_cell_angle_gamma 90.00
_symmetry_space_group_name_H-M 'P m -3 m'
_symmetry_Int_Tables_number 221
_symmetry_space_group_name_Hall '-P 4 2 3'
loop_
_atom_site_label
_atom_site_type_symbol
_atom_site_fract_x
_atom_site_fract_y
_atom_site_fract_z
_atom_site_occupancy
Hf1 Hf 0.000 0.000 0.000 1
V1 V 0.500 0.500 0.500 1
B1 B 0.000 0.000 0.500 1
```



# 5
SiTcAs3 | PBE-GGA | relaxed

* density of states at the Fermi level: 0.73 states/eV per atom
* E above lowest polymorph: 346.2 meV per atom
* formation energy from raw total energies: 1.10 eV/atom

```
data_SiTcAs3
_cell_length_a 4.680
_cell_length_b 4.680
_cell_length_c 4.680
_cell_angle_alpha 90.00
_cell_angle_beta 90.00
_cell_angle_gamma 90.00
_symmetry_space_group_name_H-M 'P m -3 m'
_symmetry_Int_Tables_number 221
_symmetry_space_group_name_Hall '-P 4 2 3'
loop_
_atom_site_label
_atom_site_type_symbol
_atom_site_fract_x
_atom_site_fract_y
_atom_site_fract_z
_atom_site_occupancy
Si1 Si 0.000 0.000 0.000 1
Tc1 Tc 0.500 0.500 0.500 1
As1 As 0.000 0.000 0.500 1
```



# 6
CuB2Pb2O6 | PBE-GGA | relaxed

* density of states at the Fermi level: 0.20 states/eV per atom
* E above lowest polymorph: 126.6 meV per atom
* formation energy from raw total energies: -1.53 eV/atom

```
data_CuB2Pb2O6
_cell_length_a 5.2620
_cell_length_b 5.2620
_cell_length_c 16.6252
_cell_angle_alpha 90.00
_cell_angle_beta 90.00
_cell_angle_gamma 120.00
_symmetry_space_group_name_H-M 'R -3 m'
_symmetry_Int_Tables_number 166
_symmetry_space_group_name_Hall '-R 3 2"'
loop_
_atom_site_label
_atom_site_type_symbol
_atom_site_fract_x
_atom_site_fract_y
_atom_site_fract_z
_atom_site_occupancy
Cu1 Cu 0.0000 0.0000 0.0000 1
B1 B 0.0000 0.0000 0.4120 1
Pb1 Pb 0.0000 0.0000 0.2177 1
O1 O 0.0277 0.5139 0.2527 1
```



# 7
AlFe3Ir4 | PBE-GGA | relaxed

* density of states at the Fermi level: 0.86 states/eV per atom
* calculated total energy: -66.21 eV per cell

```
data_AlFe3Ir4
_cell_length_a 2.992
_cell_length_b 4.279
_cell_length_c 8.581
_cell_angle_alpha 90.00
_cell_angle_beta 90.00
_cell_angle_gamma 90.00
_symmetry_space_group_name_H-M 'P m m m'
_symmetry_Int_Tables_number 47
_symmetry_space_group_name_Hall '-P 2 2'
loop_
_atom_site_label
_atom_site_type_symbol
_atom_site_fract_x
_atom_site_fract_y
_atom_site_fract_z
_atom_site_occupancy
Al1 Al 0.000 0.000 0.000 1
Fe1 Fe 0.000 0.000 0.500 1
Fe2 Fe 0.000 0.500 0.253 1
Ir1 Ir 0.500 0.000 0.247 1
Ir2 Ir 0.500 0.500 0.000 1
Ir3 Ir 0.500 0.500 0.500 1
```



# 8
AcTlAu | PBE-GGA | relaxed

* density of states at the Fermi level: 1.57 states/eV per atom
* E above lowest polymorph: 76.7 meV per atom

```
data_AcTlAu
_cell_length_a 7.274
_cell_length_b 7.274
_cell_length_c 7.274
_cell_angle_alpha 90.00
_cell_angle_beta 90.00
_cell_angle_gamma 90.00
_symmetry_space_group_name_H-M 'F -4 3 m'
_symmetry_Int_Tables_number 216
_symmetry_space_group_name_Hall 'F -4 2 3'
loop_
_atom_site_label
_atom_site_type_symbol
_atom_site_fract_x
_atom_site_fract_y
_atom_site_fract_z
_atom_site_occupancy
Ac1 Ac 0.000 0.000 0.000 1
Tl1 Tl 0.000 0.000 0.500 1
Au1 Au 0.250 0.250 0.250 1
```



# 9
LaZnHg2 | PBE-GGA | relaxed

* density of states at the Fermi level: 0.70 states/eV per atom
* calculated total energy: -7.81 eV per cell

```
data_LaZnHg2
_cell_length_a 3.501
_cell_length_b 4.916
_cell_length_c 5.975
_cell_angle_alpha 90.00
_cell_angle_beta 90.20
_cell_angle_gamma 90.00
_symmetry_space_group_name_H-M 'P 1 m 1'
_symmetry_Int_Tables_number 6
_symmetry_space_group_name_Hall 'P -2y'
loop_
_atom_site_label
_atom_site_type_symbol
_atom_site_fract_x
_atom_site_fract_y
_atom_site_fract_z
_atom_site_occupancy
La1 La 0.000 0.000 0.000 1
Zn1 Zn 0.503 0.500 0.254 1
Hg1 Hg 0.498 0.500 0.758 1
Hg2 Hg 0.501 0.000 0.478 1
```



# 10
LaIr3 | PBE-GGA | relaxed

* density of states at the Fermi level: 0.96 states/eV per atom
* calculated total energy: -31.58 eV per cell

```
data_LaIr3
_cell_length_a 2.922
_cell_length_b 4.654
_cell_length_c 5.374
_cell_angle_alpha 90.00
_cell_angle_beta 90.00
_cell_angle_gamma 90.00
_symmetry_space_group_name_H-M 'P m m 2'
_symmetry_Int_Tables_number 25
_symmetry_space_group_name_Hall 'P 2 -2'
loop_
_atom_site_label
_atom_site_type_symbol
_atom_site_fract_x
_atom_site_fract_y
_atom_site_fract_z
_atom_site_occupancy
La1 La 0.000 0.000 0.000 1
Ir1 Ir 0.000 0.500 0.614 1
Ir2 Ir 0.500 0.000 0.510 1
Ir3 Ir 0.500 0.500 0.207 1
```



# 11
La4GePI2 | PBE-GGA | relaxed

* density of states at the Fermi level: 0.46 states/eV per atom
* formation energy from raw total energies: -1.28 eV/atom

```
data_La4GePI2
_cell_length_a 7.579
_cell_length_b 4.376
_cell_length_c 8.240
_cell_angle_alpha 90.00
_cell_angle_beta 107.86
_cell_angle_gamma 90.00
_symmetry_space_group_name_H-M 'P 1 2/m 1'
_symmetry_Int_Tables_number 10
_symmetry_space_group_name_Hall '-P 2y'
loop_
_atom_site_label
_atom_site_type_symbol
_atom_site_fract_x
_atom_site_fract_y
_atom_site_fract_z
_atom_site_occupancy
La1 La 0.225 0.000 0.195 1
La2 La 0.259 0.500 0.801 1
Ge1 Ge 0.500 0.000 0.000 1
P1 P 0.000 0.500 0.000 1
I1 I 0.000 0.000 0.500 1
I2 I 0.500 0.500 0.500 1
```



# 12
Sr2ScAl | PBE-GGA | relaxed

* density of states at the Fermi level: 0.72 states/eV per atom
* calculated total energy: -12.82 eV per cell

```
data_Sr2ScAl
_cell_length_a 4.980
_cell_length_b 4.980
_cell_length_c 5.128
_cell_angle_alpha 90.00
_cell_angle_beta 90.00
_cell_angle_gamma 90.00
_symmetry_space_group_name_H-M 'P 4/m m m'
_symmetry_Int_Tables_number 123
_symmetry_space_group_name_Hall '-P 4 2'
loop_
_atom_site_label
_atom_site_type_symbol
_atom_site_fract_x
_atom_site_fract_y
_atom_site_fract_z
_atom_site_occupancy
Sr1 Sr 0.000 0.500 0.000 1
Sc1 Sc 0.000 0.000 0.500 1
Al1 Al 0.500 0.500 0.500 1
```



# 13
K3PtI | PBE-GGA | relaxed

* density of states at the Fermi level: 0.00 states/eV per atom
* E above lowest polymorph: 0.0 meV per atom
* formation energy from raw total energies: -0.52 eV/atom

```
data_K3PtI
_cell_length_a 6.092
_cell_length_b 6.092
_cell_length_c 6.092
_cell_angle_alpha 90.00
_cell_angle_beta 90.00
_cell_angle_gamma 90.00
_symmetry_space_group_name_H-M 'P m -3 m'
_symmetry_Int_Tables_number 221
_symmetry_space_group_name_Hall '-P 4 2 3'
loop_
_atom_site_label
_atom_site_type_symbol
_atom_site_fract_x
_atom_site_fract_y
_atom_site_fract_z
_atom_site_occupancy
K1 K 0.000 0.000 0.500 1
Pt1 Pt 0.000 0.000 0.000 1
I1 I 0.500 0.500 0.500 1
```